DFT (PBE) results for an optimized crystal structure of HfSiPt2S.

a = 4.4627 Å, b = 4.4627 Å, c = 4.7776 Å
α = 90.00°, β = 90.00°, γ = 90.00°
Space group P4/mmm (No. 123)
Unique sites:
Hf 0.0000 0.0000 0.0000 (multiplicity 1)
Si 0.5000 0.5000 0.0000 (multiplicity 1)
Pt 0.0000 0.5000 0.5000 (multiplicity 2)
S 0.0000 0.0000 0.5000 (multiplicity 1)

Summary:
- Formation energy from raw total energies: 0.08 eV per atom
- DOS(E_F): 1.3 states/eV/cell
- Magnetic moment: 0.000 μB per atom

=====

DFT (PBE) results for an optimized crystal structure of CaTe2RhI.

a = 5.3126 Å, b = 5.3126 Å, c = 5.4270 Å
α = 90.00°, β = 90.00°, γ = 90.00°
Space group P4/mmm (No. 123)
Unique sites:
Ca 0.0000 0.0000 0.0000 (multiplicity 1)
Te 0.0000 0.5000 0.5000 (multiplicity 2)
Rh 0.5000 0.5000 0.5000 (multiplicity 1)
I 0.5000 0.5000 0.0000 (multiplicity 1)

Summary:
- Formation energy from raw total energies: -0.37 eV per atom
- DOS(E_F): 6.1 states/eV/cell
- Magnetic moment: 0.000 μB per atom

=====

DFT (PBE) results for an optimized crystal structure of CeP2Rh7.

a = 3.9654 Å, b = 3.9654 Å, c = 19.4923 Å
α = 90.00°, β = 90.00°, γ = 90.00°
Space group I4/mmm (No. 139)
Unique sites:
Ce 0.0000 0.0000 0.0000 (multiplicity 2)
P 0.0000 0.0000 0.3222 (multiplicity 4)
Rh 0.0000 0.0000 0.5000 (multiplicity 2)
Rh 0.0000 0.5000 0.1093 (multiplicity 8)
Rh 0.0000 0.5000 0.2500 (multiplicity 4)

Summary:
- DOS(E_F): 11.7 states/eV/cell
- Magnetic moment: 0.000 μB per atom
- Total energy: -149.9 eV for the cell shown